1.
# La6Zn2Au GGA-PBE optimized geometry
data_La6Zn2Au
_symmetry_space_group_name_H-M 'P 1'
_symmetry_Int_Tables_number 1
_cell_length_a 8.937
_cell_length_b 8.937
_cell_length_c 8.937
_cell_angle_alpha 111.22
_cell_angle_beta 109.05
_cell_angle_gamma 108.16
loop_
_symmetry_equiv_pos_as_xyz
'x,y,z'
loop_
_atom_site_label
_atom_site_type_symbol
_atom_site_fract_x
_atom_site_fract_y
_atom_site_fract_z
La1 La 0.043 0.217 0.827
La2 La 0.256 0.308 0.564
La3 La 0.256 0.692 0.949
La4 La 0.262 0.587 0.325
La5 La 0.262 0.937 0.675
La6 La 0.390 0.217 0.173
La7 La 0.610 0.783 0.827
La8 La 0.738 0.063 0.325
La9 La 0.738 0.413 0.675
La10 La 0.744 0.308 0.051
La11 La 0.744 0.692 0.436
La12 La 0.957 0.783 0.173
Zn1 Zn 0.000 0.135 0.135
Zn2 Zn 0.000 0.865 0.865
Zn3 Zn 0.377 0.000 0.377
Zn4 Zn 0.623 0.000 0.623
Au1 Au 0.000 0.500 0.500
Au2 Au 0.500 0.500 0.000
# Fermi-level density of states, states/eV/f.u.: 12.83
# Space group: Immm, No. 71
# Offset from the most stable computed form, meV per atom: 34
# Total magnetization, Bohr magnetons per cell: 0.0
# VASP energy, Ha/atom: -0.1542
# DFT formation energy, kcal/mol of atoms: -6.08

***

2.
# PuPaAlPd GGA-PBE optimized geometry
data_PuPaAlPd
_symmetry_space_group_name_H-M 'P 1'
_symmetry_Int_Tables_number 1
_cell_length_a 4.867
_cell_length_b 4.867
_cell_length_c 4.867
_cell_angle_alpha 60.00
_cell_angle_beta 60.00
_cell_angle_gamma 60.00
loop_
_symmetry_equiv_pos_as_xyz
'x,y,z'
loop_
_atom_site_label
_atom_site_type_symbol
_atom_site_fract_x
_atom_site_fract_y
_atom_site_fract_z
Pu1 Pu 0.000 0.000 0.000
Pa1 Pa 0.750 0.750 0.750
Al1 Al 0.250 0.250 0.250
Pd1 Pd 0.500 0.500 0.500
# Fermi-level density of states, states/eV/f.u.: 7.23
# Space group: F-43m, No. 216
# Total magnetization, Bohr magnetons per cell: 8.0
# VASP energy, Ha/atom: -0.3120
# DFT formation energy, kcal/mol of atoms: -6.89

***

3.
# Li2MoAs2 GGA-PBE optimized geometry
data_Li2MoAs2
_symmetry_space_group_name_H-M 'P 1'
_symmetry_Int_Tables_number 1
_cell_length_a 6.601
_cell_length_b 6.601
_cell_length_c 3.684
_cell_angle_alpha 90.00
_cell_angle_beta 90.00
_cell_angle_gamma 90.00
loop_
_symmetry_equiv_pos_as_xyz
'x,y,z'
loop_
_atom_site_label
_atom_site_type_symbol
_atom_site_fract_x
_atom_site_fract_y
_atom_site_fract_z
Li1 Li 0.158 0.342 0.000
Li2 Li 0.342 0.842 0.000
Li3 Li 0.658 0.158 0.000
Li4 Li 0.842 0.658 0.000
Mo1 Mo 0.000 0.000 0.500
Mo2 Mo 0.500 0.500 0.500
As1 As 0.149 0.649 0.500
As2 As 0.351 0.149 0.500
As3 As 0.649 0.851 0.500
As4 As 0.851 0.351 0.500
# Fermi-level density of states, states/eV/f.u.: 1.79
# Space group: P4/mbm, No. 127
# Total magnetization, Bohr magnetons per cell: 0.0
# VASP energy, Ha/atom: -0.1865
# DFT formation energy, kcal/mol of atoms: -6.51

***

4.
# HfPd6Pt5 GGA-PBE optimized geometry
data_HfPd6Pt5
_symmetry_space_group_name_H-M 'P 1'
_symmetry_Int_Tables_number 1
_cell_length_a 7.445
_cell_length_b 7.445
_cell_length_c 7.445
_cell_angle_alpha 149.08
_cell_angle_beta 114.98
_cell_angle_gamma 73.73
loop_
_symmetry_equiv_pos_as_xyz
'x,y,z'
loop_
_atom_site_label
_atom_site_type_symbol
_atom_site_fract_x
_atom_site_fract_y
_atom_site_fract_z
Hf1 Hf 0.000 0.000 0.000
Pd1 Pd 0.080 0.833 0.248
Pd2 Pd 0.246 0.500 0.746
Pd3 Pd 0.415 0.167 0.248
Pd4 Pd 0.585 0.833 0.752
Pd5 Pd 0.754 0.500 0.254
Pd6 Pd 0.920 0.167 0.752
Pt1 Pt 0.166 0.666 0.500
Pt2 Pt 0.338 0.338 0.000
Pt3 Pt 0.500 0.000 0.500
Pt4 Pt 0.662 0.662 0.000
Pt5 Pt 0.834 0.334 0.500
# Fermi-level density of states, states/eV/f.u.: 15.11
# Space group: Immm, No. 71
# Total magnetization, Bohr magnetons per cell: 0.0
# VASP energy, Ha/atom: -0.2315
# DFT formation energy, kcal/mol of atoms: -8.22